(1)
Hf3Tc5N12 | GGA-PBE | optimized geometry

Summary:
The calculation puts the final energy at -9.41 eV/atom. As for the symmetry: Ia-3d (230). For the density of states at the Fermi level, the calculation gives 0.534 states/eV/atom. The value obtained for the uncorrected formation energy is -328 meV per atom. The total magnetization is 0.62 μB per formula unit.

a b c (Å): 10.6391 10.6391 10.6391
angles (deg): 109.47 109.47 109.47
Atoms (fractional coordinates):
Hf  0.7500  0.3750  0.1250
Hf  0.8750  0.7500  0.1250
Hf  0.3750  0.7500  0.6250
Hf  0.2500  0.1250  0.3750
Hf  0.8750  0.1250  0.2500
Hf  0.3750  0.6250  0.2500
Hf  0.6250  0.3750  0.7500
Hf  0.1250  0.8750  0.7500
Hf  0.7500  0.8750  0.6250
Hf  0.6250  0.2500  0.3750
Hf  0.1250  0.2500  0.8750
Hf  0.2500  0.6250  0.8750
Tc  0.1250  0.3750  0.2500
Tc  0.0000  0.5000  0.0000
Tc  0.0000  0.0000  0.0000
Tc  0.3750  0.2500  0.1250
Tc  0.5000  0.0000  0.5000
Tc  0.5000  0.5000  0.0000
Tc  0.1250  0.7500  0.3750
Tc  0.7500  0.1250  0.8750
Tc  0.7500  0.6250  0.3750
Tc  0.3750  0.1250  0.7500
Tc  0.6250  0.8750  0.2500
Tc  0.5000  0.5000  0.5000
Tc  0.5000  0.0000  0.0000
Tc  0.0000  0.0000  0.5000
Tc  0.2500  0.3750  0.6250
Tc  0.2500  0.8750  0.1250
Tc  0.0000  0.5000  0.5000
Tc  0.8750  0.2500  0.6250
Tc  0.6250  0.7500  0.8750
Tc  0.8750  0.6250  0.7500
N  0.7162  0.1265  0.0364
N  0.3202  0.5364  0.4098
N  0.9636  0.3735  0.2838
N  0.5364  0.2162  0.1265
N  0.5897  0.7162  0.6798
N  0.9636  0.5902  0.1798
N  0.3202  0.7838  0.4103
N  0.0902  0.9103  0.1265
N  0.5902  0.9636  0.6798
N  0.7162  0.5897  0.1798
N  0.7838  0.4636  0.3735
N  0.8202  0.9098  0.0364
N  0.1265  0.7162  0.5364
N  0.3735  0.4098  0.0897
N  0.0897  0.9098  0.3735
N  0.4103  0.1265  0.5902
N  0.0897  0.1798  0.2162
N  0.4636  0.6798  0.0902
N  0.8202  0.9103  0.2838
N  0.1265  0.4103  0.0902
N  0.3735  0.9636  0.7838
N  0.5902  0.6265  0.4103
N  0.9098  0.8202  0.5364
N  0.7838  0.3202  0.9103
N  0.4098  0.3735  0.5897
N  0.0902  0.1798  0.4636
N  0.2162  0.6798  0.0897
N  0.1798  0.0897  0.7162
N  0.6265  0.0364  0.2162
N  0.8735  0.5897  0.9098
N  0.5364  0.3202  0.9098
N  0.5897  0.8735  0.4098
N  0.9103  0.8202  0.7838
N  0.9103  0.0902  0.6265
N  0.8735  0.2838  0.4636
N  0.1798  0.0902  0.9636
N  0.6265  0.5902  0.9103
N  0.4098  0.0364  0.3202
N  0.2838  0.4103  0.8202
N  0.2162  0.5364  0.6265
N  0.9098  0.0897  0.8735
N  0.6798  0.2162  0.5897
N  0.4636  0.7838  0.8735
N  0.0364  0.4098  0.8202
N  0.4103  0.2838  0.3202
N  0.0364  0.6265  0.7162
N  0.6798  0.4636  0.5902
N  0.2838  0.8735  0.9636

(2)
HfTc2N2 | GGA-PBE | optimized geometry

Summary:
The calculation puts the final energy at -9.86 eV/atom. As for the symmetry: P4/mbm (127). For the density of states at the Fermi level, the calculation gives 0.704 states/eV/atom. The value obtained for the uncorrected formation energy is -396 meV per atom. The total magnetization is 0.00 μB per formula unit.

a b c (Å): 5.9077 5.9077 3.8776
angles (deg): 90.00 90.00 90.00
Atoms (fractional coordinates):
Hf  0.0000  0.0000  0.0000
Hf  0.5000  0.5000  0.0000
Tc  0.1688  0.6688  0.5000
Tc  0.6688  0.8312  0.5000
Tc  0.8312  0.3312  0.5000
Tc  0.3312  0.1688  0.5000
N  0.1673  0.6673  0.0000
N  0.6673  0.8327  0.0000
N  0.8327  0.3327  0.0000
N  0.3327  0.1673  0.0000

(3)
Hf8Tc2N3 | GGA-PBE | optimized geometry

Summary:
The calculation puts the final energy at -10.28 eV/atom. As for the symmetry: C2/m (12). For the density of states at the Fermi level, the calculation gives 0.572 states/eV/atom. The value obtained for the uncorrected formation energy is -643 meV per atom. The total magnetization is 0.00 μB per formula unit.

a b c (Å): 5.5953 6.3292 7.3574
angles (deg): 115.48 103.58 90.00
Atoms (fractional coordinates):
Hf  0.9382  0.6179  0.2358
Hf  0.0618  0.3821  0.7642
Hf  0.9030  0.1073  0.2146
Hf  0.0970  0.8927  0.7854
Hf  0.6113  0.6599  0.8121
Hf  0.6113  0.1522  0.8121
Hf  0.3887  0.8478  0.1879
Hf  0.3887  0.3401  0.1879
Tc  0.3724  0.2515  0.5030
Tc  0.6276  0.7485  0.4970
N  0.5000  0.0000  0.0000
N  0.0000  0.2437  0.0000
N  0.0000  0.7563  0.0000

(4)
Hf4TcN | GGA-PBE | optimized geometry

Summary:
The calculation puts the final energy at -10.37 eV/atom. As for the symmetry: P2_1/c (14). For the density of states at the Fermi level, the calculation gives 0.673 states/eV/atom. The value obtained for the uncorrected formation energy is -619 meV per atom. The total magnetization is 0.00 μB per formula unit.

a b c (Å): 5.8464 6.3433 5.9257
angles (deg): 100.76 90.00 90.00
Atoms (fractional coordinates):
Hf  0.1675  0.6882  0.1054
Hf  0.3325  0.1882  0.1054
Hf  0.6376  0.6177  0.3369
Hf  0.1376  0.8823  0.6631
Hf  0.8624  0.1177  0.3369
Hf  0.3624  0.3823  0.6631
Hf  0.6675  0.8118  0.8946
Hf  0.8325  0.3118  0.8946
Tc  0.0000  0.5000  0.5000
Tc  0.5000  0.0000  0.5000
N  0.5000  0.5000  0.0000
N  0.0000  0.0000  0.0000

(5)
HfTcN2 | GGA-PBE | optimized geometry

Summary:
The calculation puts the final energy at -9.76 eV/atom. As for the symmetry: R-3m (166). For the density of states at the Fermi level, the calculation gives 0.952 states/eV/atom. The value obtained for the uncorrected formation energy is -517 meV per atom. The total magnetization is 0.01 μB per formula unit.

a b c (Å): 6.3594 6.3594 6.3594
angles (deg): 29.18 29.18 29.18
Atoms (fractional coordinates):
Hf  0.5000  0.5000  0.5000
Tc  0.0000  0.0000  0.0000
N  0.8949  0.8949  0.8949
N  0.1051  0.1051  0.1051

(6)
HfTcN2 | GGA-PBE | optimized geometry

Summary:
The calculation puts the final energy at -9.49 eV/atom. As for the symmetry: Fm-3m (225). For the density of states at the Fermi level, the calculation gives 0.336 states/eV/atom. The value obtained for the uncorrected formation energy is -248 meV per atom. The total magnetization is 1.00 μB per formula unit.

a b c (Å): 3.8953 3.8953 3.8953
angles (deg): 60.00 60.00 60.00
Atoms (fractional coordinates):
Hf  0.5000  0.5000  0.5000
Tc  0.0000  0.0000  0.0000
N  0.2500  0.2500  0.2500
N  0.7500  0.7500  0.7500

(7)
HfTc3N | GGA-PBE | optimized geometry

Summary:
The calculation puts the final energy at -10.17 eV/atom. As for the symmetry: Pm-3m (221). For the density of states at the Fermi level, the calculation gives 0.874 states/eV/atom. The value obtained for the uncorrected formation energy is -292 meV per atom. The total magnetization is 0.00 μB per formula unit.

a b c (Å): 4.1222 4.1222 4.1222
angles (deg): 90.00 90.00 90.00
Atoms (fractional coordinates):
Hf  0.5000  0.5000  0.5000
Tc  0.0000  0.5000  0.0000
Tc  0.0000  0.0000  0.5000
Tc  0.5000  0.0000  0.0000
N  0.0000  0.0000  0.0000

(8)
HfTc3N | GGA-PBE | optimized geometry

Summary:
The calculation puts the final energy at -6.78 eV/atom. As for the symmetry: Pm-3m (221). For the density of states at the Fermi level, the calculation gives 1.470 states/eV/atom. The value obtained for the uncorrected formation energy is 3094 meV per atom. The total magnetization is 2.04 μB per formula unit.

a b c (Å): 4.7924 4.7924 4.7924
angles (deg): 90.00 90.00 90.00
Atoms (fractional coordinates):
Hf  0.0000  0.0000  0.0000
Tc  0.0000  0.5000  0.0000
Tc  0.0000  0.0000  0.5000
Tc  0.5000  0.0000  0.0000
N  0.5000  0.5000  0.5000

(9)
Hf2TcN | GGA-PBE | optimized geometry

Summary:
The calculation puts the final energy at -9.98 eV/atom. As for the symmetry: I-42d (122). For the density of states at the Fermi level, the calculation gives 0.675 states/eV/atom. The value obtained for the uncorrected formation energy is -334 meV per atom. The total magnetization is 0.00 μB per formula unit.

a b c (Å): 6.2033 6.2033 5.6809
angles (deg): 56.91 56.91 90.00
Atoms (fractional coordinates):
Hf  0.5478  0.1250  0.2500
Hf  0.2022  0.6250  0.2500
Hf  0.3750  0.4522  0.7500
Hf  0.8750  0.7978  0.7500
Tc  0.0000  0.0000  0.0000
Tc  0.7500  0.2500  0.5000
N  0.5000  0.5000  0.0000
N  0.2500  0.7500  0.5000

(10)
Hf2TcN | GGA-PBE | optimized geometry

Summary:
The calculation puts the final energy at -10.59 eV/atom. As for the symmetry: R-3m (166). For the density of states at the Fermi level, the calculation gives 0.429 states/eV/atom. The value obtained for the uncorrected formation energy is -940 meV per atom. The total magnetization is 0.00 μB per formula unit.

a b c (Å): 3.1791 3.1791 7.1141
angles (deg): 77.09 77.09 60.00
Atoms (fractional coordinates):
Hf  0.7326  0.7326  0.8021
Hf  0.2674  0.2674  0.1979
Tc  0.5000  0.5000  0.5000
N  0.0000  0.0000  0.0000

(11)
HfTc2N2 | GGA-PBE | optimized geometry

Summary:
The calculation puts the final energy at -9.22 eV/atom. As for the symmetry: I4/mmm (139). For the density of states at the Fermi level, the calculation gives 0.478 states/eV/atom. The value obtained for the uncorrected formation energy is 248 meV per atom. The total magnetization is 0.00 μB per formula unit.

a b c (Å): 3.7979 3.7979 5.2996
angles (deg): 69.00 69.00 90.00
Atoms (fractional coordinates):
Hf  0.0000  0.0000  0.0000
Tc  0.7500  0.2500  0.5000
Tc  0.2500  0.7500  0.5000
N  0.3471  0.3471  0.3058
N  0.6529  0.6529  0.6942

> Which value of final energy does entry 3 give?

-10.28 eV/atom

> Among the records above, which one has the lowest final energy?

number 10